Compound: Dy2ScCdO
Source: Alexandria
Functional: GGA-PBE
Structure: relaxed Values from VASP.

Cell and atoms, written as Quantum ESPRESSO input:
```
&SYSTEM
  ibrav = 0, nat = 5, ntyp = 4
/
ATOMIC_SPECIES
Dy 162.50 Dy.upf
Sc 44.96 Sc.upf
Cd 112.41 Cd.upf
O 16.00 O.upf
ATOMIC_POSITIONS crystal
Dy 0.000 0.500 0.000
Dy 0.500 0.000 0.000
Sc 0.000 0.000 0.500
Cd 0.500 0.500 0.500
O 0.000 0.000 0.000
CELL_PARAMETERS angstrom
4.778 0.000 0.000
0.000 4.778 0.000
0.000 0.000 4.505
```

Properties
Energy relative to the elements, uncorrected, eV/atom: -1.34

Compound: Dy2CdSiO6
Source: Alexandria
Functional: GGA-PBE
Structure: relaxed Values from VASP.

Cell and atoms, written as Quantum ESPRESSO input:
```
&SYSTEM
  ibrav = 0, nat = 10, ntyp = 4
/
ATOMIC_SPECIES
Dy 162.50 Dy.upf
Cd 112.41 Cd.upf
Si 28.09 Si.upf
O 16.00 O.upf
ATOMIC_POSITIONS crystal
Dy 0.000 0.500 0.000
Dy 0.500 0.000 0.000
Cd 0.000 0.000 0.546
Si 0.500 0.500 0.623
O 0.000 0.000 0.123
O 0.275 0.275 0.742
O 0.275 0.725 0.742
O 0.500 0.500 0.286
O 0.725 0.275 0.742
O 0.725 0.725 0.742
CELL_PARAMETERS angstrom
5.215 0.000 0.000
0.000 5.215 0.000
0.000 0.000 4.968
```

Properties
Energy relative to the elements, uncorrected, eV/atom: -2.63

Compound: Dy2CdSnO6
Source: Alexandria
Functional: GGA-PBE
Structure: relaxed Values from VASP.

Cell and atoms, written as Quantum ESPRESSO input:
```
&SYSTEM
  ibrav = 0, nat = 10, ntyp = 4
/
ATOMIC_SPECIES
Dy 162.50 Dy.upf
Cd 112.41 Cd.upf
Sn 118.71 Sn.upf
O 16.00 O.upf
ATOMIC_POSITIONS crystal
Dy 0.000 0.000 0.000
Dy 0.494 0.494 0.494
Cd 0.273 0.273 0.273
Sn 0.789 0.789 0.789
O 0.065 0.420 0.693
O 0.168 0.880 0.608
O 0.420 0.693 0.065
O 0.608 0.168 0.880
O 0.693 0.065 0.420
O 0.880 0.608 0.168
CELL_PARAMETERS angstrom
2.857 1.649 5.032
-2.857 1.649 5.032
0.000 -3.299 5.032
```

Properties
Energy relative to the elements, uncorrected, eV/atom: -2.48

Compound: DyTaCd2O6
Source: Alexandria
Functional: GGA-PBE
Structure: relaxed Values from VASP.

Cell and atoms, written as Quantum ESPRESSO input:
```
&SYSTEM
  ibrav = 0, nat = 20, ntyp = 4
/
ATOMIC_SPECIES
Dy 162.50 Dy.upf
Ta 180.95 Ta.upf
Cd 112.41 Cd.upf
O 16.00 O.upf
ATOMIC_POSITIONS crystal
Dy 0.000 0.000 0.000
Dy 0.000 0.500 0.500
Ta 0.500 0.000 0.500
Ta 0.500 0.500 0.000
Cd 0.254 0.042 0.749
Cd 0.254 0.458 0.249
Cd 0.746 0.542 0.751
Cd 0.746 0.958 0.251
O 0.156 0.060 0.267
O 0.156 0.440 0.767
O 0.256 0.673 0.054
O 0.256 0.827 0.554
O 0.400 0.204 0.066
O 0.400 0.296 0.566
O 0.600 0.704 0.434
O 0.600 0.796 0.934
O 0.744 0.173 0.446
O 0.744 0.327 0.946
O 0.844 0.560 0.233
O 0.844 0.940 0.733
CELL_PARAMETERS angstrom
5.621 0.000 0.000
0.000 5.765 0.000
-5.562 0.000 8.186
```

Properties
Energy relative to the elements, uncorrected, eV/atom: -2.32

Compound: Tb2DyCdO
Source: Alexandria
Functional: GGA-PBE
Structure: relaxed Values from VASP.

Cell and atoms, written as Quantum ESPRESSO input:
```
&SYSTEM
  ibrav = 0, nat = 5, ntyp = 4
/
ATOMIC_SPECIES
Tb 158.93 Tb.upf
Dy 162.50 Dy.upf
Cd 112.41 Cd.upf
O 16.00 O.upf
ATOMIC_POSITIONS crystal
Tb 0.000 0.500 0.000
Tb 0.500 0.000 0.000
Dy 0.000 0.000 0.500
Cd 0.500 0.500 0.500
O 0.000 0.000 0.000
CELL_PARAMETERS angstrom
4.813 0.000 0.000
0.000 4.813 0.000
0.000 0.000 4.786
```

Properties
Energy relative to the elements, uncorrected, eV/atom: -1.32

Compound: DyCdTc2O8
Source: Alexandria
Functional: GGA-PBE
Structure: relaxed Values from VASP.

Cell and atoms, written as Quantum ESPRESSO input:
```
&SYSTEM
  ibrav = 0, nat = 12, ntyp = 4
/
ATOMIC_SPECIES
Dy 162.50 Dy.upf
Cd 112.41 Cd.upf
Tc 98.00 Tc.upf
O 16.00 O.upf
ATOMIC_POSITIONS crystal
Dy 0.000 0.000 0.000
Cd 0.000 0.000 0.500
Tc 0.333 0.667 0.237
Tc 0.667 0.333 0.763
O 0.176 0.351 0.162
O 0.176 0.824 0.162
O 0.333 0.667 0.460
O 0.351 0.176 0.838
O 0.649 0.824 0.162
O 0.667 0.333 0.540
O 0.824 0.176 0.838
O 0.824 0.649 0.838
CELL_PARAMETERS angstrom
6.163 0.000 0.000
-3.081 5.337 0.000
0.000 0.000 7.723
```

Properties
Energy relative to the elements, uncorrected, eV/atom: -1.68

Compound: DyCd2TcO6
Source: Alexandria
Functional: GGA-PBE
Structure: relaxed Values from VASP.

Cell and atoms, written as Quantum ESPRESSO input:
```
&SYSTEM
  ibrav = 0, nat = 10, ntyp = 4
/
ATOMIC_SPECIES
Dy 162.50 Dy.upf
Cd 112.41 Cd.upf
Tc 98.00 Tc.upf
O 16.00 O.upf
ATOMIC_POSITIONS crystal
Dy 0.000 0.000 0.000
Cd 0.000 0.500 0.367
Cd 0.500 0.000 0.367
Tc 0.500 0.500 0.960
O 0.000 0.000 0.531
O 0.275 0.275 0.101
O 0.275 0.725 0.101
O 0.500 0.500 0.590
O 0.725 0.275 0.101
O 0.725 0.725 0.101
CELL_PARAMETERS angstrom
5.716 0.000 0.000
0.000 5.716 0.000
0.000 0.000 4.632
```

Properties
Energy relative to the elements, uncorrected, eV/atom: -1.59

Compound: DyCdTe2O8
Source: Alexandria
Functional: GGA-PBE
Structure: relaxed Values from VASP.

Cell and atoms, written as Quantum ESPRESSO input:
```
&SYSTEM
  ibrav = 0, nat = 12, ntyp = 4
/
ATOMIC_SPECIES
Dy 162.50 Dy.upf
Cd 112.41 Cd.upf
Te 127.60 Te.upf
O 16.00 O.upf
ATOMIC_POSITIONS crystal
Dy 0.000 0.000 0.000
Cd 0.250 0.750 0.500
Te 0.500 0.500 0.000
Te 0.750 0.250 0.500
O 0.306 0.123 0.816
O 0.306 0.490 0.184
O 0.374 0.065 0.309
O 0.510 0.694 0.816
O 0.756 0.065 0.691
O 0.877 0.694 0.184
O 0.935 0.244 0.309
O 0.935 0.626 0.691
CELL_PARAMETERS angstrom
-3.695 3.695 3.392
3.695 -3.695 3.392
3.695 3.695 -3.392
```

Properties
Energy relative to the elements, uncorrected, eV/atom: -1.40

Compound: DyCd2TeO6
Source: Alexandria
Functional: GGA-PBE
Structure: relaxed Values from VASP.

Cell and atoms, written as Quantum ESPRESSO input:
```
&SYSTEM
  ibrav = 0, nat = 10, ntyp = 4
/
ATOMIC_SPECIES
Dy 162.50 Dy.upf
Cd 112.41 Cd.upf
Te 127.60 Te.upf
O 16.00 O.upf
ATOMIC_POSITIONS crystal
Dy 0.000 0.000 0.000
Cd 0.220 0.220 0.220
Cd 0.728 0.728 0.728
Te 0.506 0.506 0.506
O 0.149 0.384 0.768
O 0.296 0.860 0.622
O 0.384 0.768 0.149
O 0.622 0.296 0.860
O 0.768 0.149 0.384
O 0.860 0.622 0.296
CELL_PARAMETERS angstrom
2.860 1.651 4.976
-2.860 1.651 4.976
0.000 -3.303 4.976
```

Properties
Energy relative to the elements, uncorrected, eV/atom: -1.64

Compound: Dy2TiCdO6
Source: Alexandria
Functional: GGA-PBE
Structure: relaxed Values from VASP.

Cell and atoms, written as Quantum ESPRESSO input:
```
&SYSTEM
  ibrav = 0, nat = 10, ntyp = 4
/
ATOMIC_SPECIES
Dy 162.50 Dy.upf
Ti 47.87 Ti.upf
Cd 112.41 Cd.upf
O 16.00 O.upf
ATOMIC_POSITIONS crystal
Dy 0.000 0.500 0.000
Dy 0.500 0.000 0.000
Ti 0.000 0.000 0.619
Cd 0.500 0.500 0.552
O 0.000 0.000 0.269
O 0.236 0.236 0.766
O 0.236 0.764 0.766
O 0.500 0.500 0.154
O 0.764 0.236 0.766
O 0.764 0.764 0.766
CELL_PARAMETERS angstrom
5.276 0.000 0.000
0.000 5.276 0.000
0.000 0.000 5.259
```

Properties
Energy relative to the elements, uncorrected, eV/atom: -2.73

Compound: Dy2TlCdO6
Source: Alexandria
Functional: GGA-PBE
Structure: relaxed Values from VASP.

Cell and atoms, written as Quantum ESPRESSO input:
```
&SYSTEM
  ibrav = 0, nat = 10, ntyp = 4
/
ATOMIC_SPECIES
Dy 162.50 Dy.upf
Tl 204.38 Tl.upf
Cd 112.41 Cd.upf
O 16.00 O.upf
ATOMIC_POSITIONS crystal
Dy 0.000 0.000 0.000
Dy 0.499 0.499 0.499
Tl 0.285 0.285 0.285
Cd 0.786 0.786 0.786
O 0.105 0.690 0.390
O 0.192 0.601 0.893
O 0.390 0.105 0.690
O 0.601 0.893 0.192
O 0.690 0.390 0.105
O 0.893 0.192 0.601
CELL_PARAMETERS angstrom
2.899 1.674 5.135
-2.899 1.674 5.135
0.000 -3.347 5.135
```

Properties
Energy relative to the elements, uncorrected, eV/atom: -2.03

Compound: Dy2TmCdO
Source: Alexandria
Functional: GGA-PBE
Structure: relaxed Values from VASP.

Cell and atoms, written as Quantum ESPRESSO input:
```
&SYSTEM
  ibrav = 0, nat = 5, ntyp = 4
/
ATOMIC_SPECIES
Dy 162.50 Dy.upf
Tm 168.93 Tm.upf
Cd 112.41 Cd.upf
O 16.00 O.upf
ATOMIC_POSITIONS crystal
Dy 0.000 0.500 0.000
Dy 0.500 0.000 0.000
Tm 0.000 0.000 0.500
Cd 0.500 0.500 0.500
O 0.000 0.000 0.000
CELL_PARAMETERS angstrom
4.789 0.000 0.000
0.000 4.789 0.000
0.000 0.000 4.707
```

Properties
Energy relative to the elements, uncorrected, eV/atom: -1.32

For reference, DFT total energy by record: -5.6178 -7.1601 -6.8634 -7.1244 -5.2715 -7.1742 -6.2489 -5.6910 -5.5728 -7.5071 -6.2574 -5.2310 eV per atom.
For reference, V by record: 102.8 135.1 142.3 265.3 110.9 254.0 151.4 185.3 141.0 146.4 149.5 108.0 Å³ per cell.